Record 1
Crystalline Mg2MnTc at its relaxed geometry. Source: the Alexandria database, functional PBE.

Values from the calculation:
- ΔH_f (0 K) (meV/atom) = 225.1
- VASP energy (eV/atom) = -5.456
- E above lowest polymorph (meV/atom) = 152

a b c (Å): 4.193 2.799 5.667
angles (deg): 76.25 90.00 90.00
Positions (direct):
Mg 0.000 0.976 0.984
Mg 0.500 0.290 0.262
Mn 0.000 0.538 0.535
Tc 0.500 0.696 0.719


Record 2
Crystalline Ga2AgPt at its relaxed geometry. Source: the Alexandria database, functional PBE.

Values from the calculation:
- ΔH_f (0 K) (meV/atom) = -246.6
- VASP energy (eV/atom) = -3.983
- E above lowest polymorph (meV/atom) = 74

a b c (Å): 4.504 4.504 4.504
angles (deg): 60.00 60.00 60.00
Positions (direct):
Ga 0.250 0.250 0.250
Ga 0.750 0.750 0.750
Ag 0.000 0.000 0.000
Pt 0.500 0.500 0.500


Record 3
Crystalline AcSiAg at its relaxed geometry. Source: the Alexandria database, functional PBE.

Values from the calculation:
- VASP energy (eV/atom) = -4.578
- E above lowest polymorph (meV/atom) = 57
- raw formation energy (meV/atom) = -450.7

a b c (Å): 4.474 4.266 8.133
angles (deg): 90.00 90.00 90.00
Positions (direct):
Ac 0.312 0.716 0.122
Ac 0.312 0.216 0.671
Si 0.812 0.216 0.969
Si 0.812 0.716 0.824
Ag 0.811 0.216 0.292
Ag 0.811 0.716 0.501


Record 4
Crystalline YGeAs at its relaxed geometry. Source: the Alexandria database, functional PBE.

Values from the calculation:
- ΔH_f (0 K) (meV/atom) = -771.1
- VASP energy (eV/atom) = -6.015

a b c (Å): 6.467 3.880 5.610
angles (deg): 110.20 90.01 90.00
Positions (direct):
As 0.240 0.627 0.041
As 0.740 0.361 0.511
Y 0.225 0.337 0.462
Y 0.725 0.650 0.089
Ge 0.519 0.968 0.724
Ge 0.019 0.020 0.827


Record 5
Crystalline Tb4PmDy8 at its relaxed geometry. Source: the Alexandria database, functional PBE.

Values from the calculation:
- ΔH_f (0 K) (meV/atom) = 195.9
- VASP energy (eV/atom) = -4.426

a b c (Å): 7.306 7.306 9.971
angles (deg): 90.00 111.49 120.00
Positions (direct):
Tb 0.000 0.000 0.000
Tb 0.000 0.500 0.000
Tb 0.500 0.500 0.000
Tb 0.500 0.000 0.000
Pm 0.000 0.500 0.500
Dy 0.564 0.782 0.346
Dy 0.436 0.218 0.654
Dy 0.500 0.250 0.306
Dy 0.944 0.194 0.694
Dy 0.500 0.750 0.694
Dy 0.944 0.750 0.694
Dy 0.056 0.250 0.306
Dy 0.056 0.806 0.306


Record 6
Crystalline PrSc2Pb at its relaxed geometry. Source: the Alexandria database, functional PBE.

Values from the calculation:
- ΔH_f (0 K) (meV/atom) = -102.7
- VASP energy (eV/atom) = -5.390
- E above lowest polymorph (meV/atom) = 150

a b c (Å): 5.261 5.261 5.260
angles (deg): 60.00 60.00 60.00
Positions (direct):
Pb 0.500 0.500 0.500
Pr 0.000 0.000 0.000
Sc 0.250 0.250 0.250
Sc 0.750 0.750 0.750